# NaAl2InBr8, optimized geometry, DFT PBE
# Size of the total moment   0.00 μB/f.u.
# Formation energy without anion corrections   -13.35 eV per formula unit
# Uncorrected energy   -3.1892 eV per atom
data_NaAl2InBr8
_chemical_formula_sum 'Na1 Al2 In1 Br8'
_symmetry_space_group_name_H-M 'P -3 m 1'
_symmetry_Int_Tables_number 164
_symmetry_space_group_name_Hall '-P 3 2"'
_cell_length_a 7.6587
_cell_length_b 7.6587
_cell_length_c 9.5340
_cell_angle_alpha 90.00
_cell_angle_beta 90.00
_cell_angle_gamma 120.00
loop_
_atom_site_label
_atom_site_type_symbol
_atom_site_fract_x
_atom_site_fract_y
_atom_site_fract_z
Na1 Na 0.0000 0.0000 0.0000
Al1 Al 0.3333 0.6667 0.6965
In1 In 0.0000 0.0000 0.5000
Br1 Br 0.1675 0.3350 0.7807
Br2 Br 0.3333 0.6667 0.4566


# AlFePt4, optimized geometry, DFT PBE
# Excess energy over the best structure of this formula in the dataset   0 meV/atom
# Size of the total moment   4.34 μB/f.u.
# Energy of formation from the pure elements   -2.5 eV per formula unit
# Uncorrected energy   -6.4698 eV per atom
data_AlFePt4
_chemical_formula_sum 'Al1 Fe1 Pt4'
_symmetry_space_group_name_H-M 'P 4/m m m'
_symmetry_Int_Tables_number 123
_symmetry_space_group_name_Hall '-P 4 2'
_cell_length_a 4.133
_cell_length_b 4.133
_cell_length_c 5.817
_cell_angle_alpha 90.00
_cell_angle_beta 90.00
_cell_angle_gamma 90.00
loop_
_atom_site_label
_atom_site_type_symbol
_atom_site_fract_x
_atom_site_fract_y
_atom_site_fract_z
Al1 Al 0.000 0.000 0.000
Fe1 Fe 0.500 0.500 0.500
Pt1 Pt 0.000 0.500 0.248


# CoCuC3, optimized geometry, DFT PBE
# Excess energy over the best structure of this formula in the dataset   0 meV/atom
# Size of the total moment   0.00 μB/f.u.
# Energy of formation from the pure elements   11.0 eV per formula unit
# Uncorrected energy   -5.5693 eV per atom
data_CoCuC3
_chemical_formula_sum 'Co1 Cu1 C3'
_symmetry_space_group_name_H-M 'P m -3 m'
_symmetry_Int_Tables_number 221
_symmetry_space_group_name_Hall '-P 4 2 3'
_cell_length_a 3.716
_cell_length_b 3.716
_cell_length_c 3.716
_cell_angle_alpha 90.00
_cell_angle_beta 90.00
_cell_angle_gamma 90.00
loop_
_atom_site_label
_atom_site_type_symbol
_atom_site_fract_x
_atom_site_fract_y
_atom_site_fract_z
Co1 Co 0.000 0.000 0.000
Cu1 Cu 0.500 0.500 0.500
C1 C 0.000 0.000 0.500


# Rb2Zn3Cl8, optimized geometry, DFT PBE
# Size of the total moment   0.25 μB/f.u.
# Formation energy without anion corrections   -18.07 eV per formula unit
# Uncorrected energy   -2.9689 eV per atom
data_Rb2Zn3Cl8
_chemical_formula_sum 'Rb4 Zn6 Cl16'
_symmetry_space_group_name_H-M 'C 1 2/m 1'
_symmetry_Int_Tables_number 12
_symmetry_space_group_name_Hall '-C 2y'
_cell_length_a 15.209
_cell_length_b 9.609
_cell_length_c 6.259
_cell_angle_alpha 90.00
_cell_angle_beta 113.32
_cell_angle_gamma 90.00
loop_
_atom_site_label
_atom_site_type_symbol
_atom_site_fract_x
_atom_site_fract_y
_atom_site_fract_z
Rb1 Rb 0.232 0.000 0.096
Zn1 Zn 0.000 0.172 0.500
Zn2 Zn 0.000 0.500 0.000
Cl1 Cl 0.088 0.280 0.833
Cl2 Cl 0.100 0.000 0.437
Cl3 Cl 0.134 0.500 0.306


# TiCrPb, optimized geometry, DFT PBE
# Excess energy over the best structure of this formula in the dataset   87 meV/atom
# Size of the total moment   0.00 μB/f.u.
# Energy of formation from the pure elements   0.7 eV per formula unit
# Uncorrected energy   -6.8262 eV per atom
data_TiCrPb
_chemical_formula_sum 'Ti4 Cr4 Pb4'
_symmetry_space_group_name_H-M 'C 1 2/m 1'
_symmetry_Int_Tables_number 12
_symmetry_space_group_name_Hall '-C 2y'
_cell_length_a 10.779
_cell_length_b 3.237
_cell_length_c 7.330
_cell_angle_alpha 90.00
_cell_angle_beta 114.65
_cell_angle_gamma 90.00
loop_
_atom_site_label
_atom_site_type_symbol
_atom_site_fract_x
_atom_site_fract_y
_atom_site_fract_z
Ti1 Ti 0.112 0.000 0.256
Cr1 Cr 0.085 0.500 0.967
Pb1 Pb 0.146 0.000 0.689


# Sr2AcThO6, optimized geometry, DFT PBE
# Size of the total moment   1.05 μB/f.u.
# Formation energy without anion corrections   -30.05 eV per formula unit
# Uncorrected energy   -7.4689 eV per atom
data_Sr2AcThO6
_chemical_formula_sum 'Sr4 Ac2 Th2 O12'
_symmetry_space_group_name_H-M 'P 1 21/c 1'
_symmetry_Int_Tables_number 14
_symmetry_space_group_name_Hall '-P 2ybc'
_cell_length_a 6.224
_cell_length_b 6.441
_cell_length_c 10.904
_cell_angle_alpha 90.00
_cell_angle_beta 124.52
_cell_angle_gamma 90.00
loop_
_atom_site_label
_atom_site_type_symbol
_atom_site_fract_x
_atom_site_fract_y
_atom_site_fract_z
Sr1 Sr 0.231 0.047 0.243
Ac1 Ac 0.000 0.000 0.500
Th1 Th 0.500 0.000 0.000
O1 O 0.140 0.182 0.943
O2 O 0.239 0.707 0.923
O3 O 0.387 0.069 0.761


- size of the total moment of number 4 (Rb2Zn3Cl8)?
  0.25 μB/f.u.